This record from the Alexandria database describes a relaxed structure of BaTlCdIn. The functional is PBE-GGA.

The structure belongs to space group F-43m (No. 216); the cell edges are 7.934, 7.934 and 7.934 Å and the angles 90.00°, 90.00° and 90.00°. Symmetry generates all atoms from Ba at (0.000, 0.000, 0.000), Tl at (0.250, 0.250, 0.250), Cd at (0.250, 0.250, 0.750) and In at (0.000, 0.000, 0.500).

The density of states at the Fermi level comes out at 4.06 states/eV per cell. As for the total magnetic moment: 0.00 Bohr magnetons per cell. The calculation puts the formation energy at -106 kJ/mol of formula units.

***

This record from the Alexandria database describes a relaxed structure of Ca6TlIn3. The functional is PBE-GGA.

The structure belongs to space group P2_1/m (No. 11); the cell edges are 9.518, 5.553 and 12.252 Å and the angles 90.00°, 109.67° and 90.00°. Symmetry generates all atoms from Ca at (0.026, 0.250, 0.415), Ca at (0.149, 0.750, 0.171), Ca at (0.258, 0.250, 0.000), Ca at (0.344, 0.750, 0.814), Ca at (0.358, 0.250, 0.327), Ca at (0.398, 0.250, 0.621), Tl at (0.447, 0.750, 0.110), In at (0.035, 0.750, 0.876), In at (0.114, 0.250, 0.716) and In at (0.269, 0.750, 0.470).

The density of states at the Fermi level comes out at 12.45 states/eV per cell. As for the total magnetic moment: 0.00 Bohr magnetons per cell. The calculation puts the formation energy at -370 kJ/mol of formula units.

***

This record from the Alexandria database describes a relaxed structure of Li5Tl. The functional is PBE-GGA.

The structure belongs to space group P6/mmm (No. 191); the cell edges are 5.3469, 5.3469 and 4.8978 Å and the angles 90.00°, 90.00° and 120.00°. Symmetry generates all atoms from Li at (0.0000, 0.5000, 0.0000), Li at (0.3333, 0.6667, 0.5000) and Tl at (0.0000, 0.0000, 0.5000).

The polymorph energy (0 for the lowest one) is 1.04 eV per formula unit. The density of states at the Fermi level comes out at 1.81 states/eV per cell. As for the total magnetic moment: 0.00 Bohr magnetons per cell. The calculation puts the formation energy at 7 kJ/mol of formula units.

***

This record from the Alexandria database describes a relaxed structure of Rb2Cu2Hg. The functional is PBE-GGA.

The structure belongs to space group I4/mmm (No. 139); the cell edges are 6.735, 6.735 and 7.652 Å and the angles 90.00°, 90.00° and 90.00°. Symmetry generates all atoms from Rb at (0.000, 0.500, 0.250), Cu at (0.000, 0.000, 0.155) and Hg at (0.000, 0.000, 0.500).

The polymorph energy (0 for the lowest one) is 0.07 eV per formula unit. The density of states at the Fermi level comes out at 4.87 states/eV per cell. As for the total magnetic moment: 0.00 Bohr magnetons per cell. The calculation puts the formation energy at 115 kJ/mol of formula units.

***

This record from the Alexandria database describes a relaxed structure of TlIn9Ga3. The functional is PBE-GGA.

The structure belongs to space group C2/m (No. 12); the cell edges are 5.637, 15.601 and 8.110 Å and the angles 90.00°, 106.16° and 90.00°. Symmetry generates all atoms from Tl at (0.000, 0.000, 0.000), In at (0.000, 0.000, 0.500), In at (0.101, 0.396, 0.203), In at (0.174, 0.179, 0.349), Ga at (0.000, 0.500, 0.500) and Ga at (0.250, 0.250, 0.000).

The density of states at the Fermi level comes out at 10.01 states/eV per cell. As for the total magnetic moment: 0.00 Bohr magnetons per cell. The calculation puts the formation energy at 52 kJ/mol of formula units.

***

This record from the Alexandria database describes a relaxed structure of AcPm2Rh9. The functional is PBE-GGA.

The structure belongs to space group R-3m (No. 166, hexagonal axes); the cell edges are 5.3636, 5.3636 and 26.5887 Å and the angles 90.00°, 90.00° and 120.00°. Symmetry generates all atoms from Ac at (0.0000, 0.0000, 0.0000), Pm at (0.0000, 0.0000, 0.1396), Rh at (0.0000, 0.0000, 0.3328), Rh at (0.0000, 0.0000, 0.5000) and Rh at (0.0004, 0.5002, 0.0830).

The density of states at the Fermi level comes out at 41.68 states/eV per cell. As for the total magnetic moment: 0.00 Bohr magnetons per cell. The calculation puts the formation energy at -589 kJ/mol of formula units.